# TlFe3I9

A relaxed TlFe3I9 crystal (PBE-GGA, the Alexandria database).

extended XYZ file:
```
26
Lattice="9.858 0.000 4.148 4.615 10.577 2.819 0.586 -0.412 12.394" Properties=species:S:1:pos:R:3 pbc="T T T"
I 2.433 0.673 9.957
I 5.329 7.415 12.897
I 6.986 8.796 8.689
I 4.168 2.332 5.896
Fe 9.920 0.210 6.328
Fe 10.856 5.293 13.234
I 3.628 5.586 8.719
Fe 7.680 7.873 6.447
Fe 7.722 2.378 12.100
I 10.172 7.907 6.072
I 6.655 9.178 4.352
I 10.576 4.244 15.511
I 8.404 -0.159 12.457
I 9.937 3.684 11.368
I 9.757 7.577 13.146
Fe 4.345 4.821 6.289
I 8.344 0.503 4.192
I 6.604 3.301 14.164
I 6.948 5.335 6.209
Fe 14.782 9.904 17.193
I 10.752 2.494 7.052
I 6.248 2.413 10.056
Tl 3.325 4.607 13.719
Tl 9.597 10.102 10.723
I 13.104 9.739 10.939
I 3.053 6.167 4.582
```

Crystal system: monoclinic
Formation energy from raw total energies: -272 kJ/mol of formula units